A plane-wave DFT calculation with PBE-GGA was carried out for a relaxed Y2ThRh3 crystal.

Cell: 4.9318 4.9318 6.0436 Å, 90.00 90.00 120.00°
Space group P-3m1 (No. 164)
Symmetry-distinct sites (fractional):
1 Y 0.3333 0.6667 0.1553 x2
2 Th 0.0000 0.0000 0.5000 x1
3 Rh 0.0000 0.0000 0.0000 x1
4 Rh 0.3333 0.6667 0.6498 x2

Its crystal system is trigonal. The calculation puts the formation energy at -838 meV per atom. The value obtained for the total magnetic moment is 0.000 μB/cell. The calculation puts the excess energy over the best structure of this formula in the dataset at 0 meV/atom.